## Tb5MgTl8 (PBE)

Data for a relaxed Tb5MgTl8 crystal.

The structure in extended XYZ format:
```
14
Lattice="-4.6671 4.6671 4.5358 4.6671 -4.6671 4.5358 4.6671 4.6671 -4.5358" Properties=species:S:1:pos:R:3 pbc="T T T"
Tb 0.0000 0.0000 0.0000
Tb 3.5805 2.2267 -1.2587
Tb 2.4404 -1.0866 5.7944
Tb 1.0866 2.4404 3.2771
Tb 2.2267 5.7536 1.2587
Mg 4.6671 0.0000 2.2679
Tl 6.2500 0.7835 -0.1908
Tl 1.6343 -0.6818 2.7189
Tl 0.7835 3.0841 0.1908
Tl 3.0328 5.3488 -1.8169
Tl 3.9853 3.0328 1.8169
Tl 3.8835 1.5830 4.7265
Tl 0.6818 1.6343 6.3527
Tl -1.5830 3.8835 4.3450
```

Properties
The final energy is -46.4 eV/f.u. As for the magnetic moment: 0.00 μB per formula unit. The calculated volume is 28.23 A^3/atom. The calculated formation energy comes out at -0.20 eV/atom.


## RbNaNpCl6 (PBE)

Data for a relaxed RbNaNpCl6 crystal.

The structure in extended XYZ format:
```
18
Lattice="7.2037 0.0000 0.0000 -3.6018 6.2386 0.0000 0.0000 0.0000 14.2480" Properties=species:S:1:pos:R:3 pbc="T T T"
Rb 0.0000 0.0000 0.0000
Rb 0.0000 0.0000 7.1240
Na 0.0000 4.1590 3.5620
Na 3.6018 2.0795 10.6860
Np 0.0000 4.1590 10.6860
Np 3.6018 2.0795 3.5620
Cl -1.1951 2.3736 9.1816
Cl -2.1438 4.0168 12.1904
Cl 1.1951 2.3736 12.1904
Cl -0.9487 6.0867 9.1816
Cl 2.6532 0.1518 2.0576
Cl 1.4581 2.2218 5.0664
Cl 2.1438 4.0168 9.1816
Cl 0.9487 6.0867 12.1904
Cl 4.5505 0.1518 5.0664
Cl 2.4067 3.8649 2.0576
Cl 5.7456 2.2218 2.0576
Cl 4.7969 3.8649 5.0664
```

Properties
The final energy is -42.5 eV/f.u. As for the uncorrected formation energy: -16.22 eV/f.u. As for the magnetic moment: 3.00 μB per formula unit. The calculated volume is 35.57 A^3/atom.


## ErZnAgF6 (PBE)

Data for a relaxed ErZnAgF6 crystal.

The structure in extended XYZ format:
```
18
Lattice="5.7229 0.0000 0.0000 -2.8615 4.9562 0.0000 0.0000 0.0000 10.0565" Properties=species:S:1:pos:R:3 pbc="T T T"
Er 0.0000 3.3041 2.5141
Er 2.8615 1.6521 7.5424
Zn 0.0000 3.3041 7.5424
Zn 2.8615 1.6521 2.5141
Ag 0.0000 0.0000 0.0000
Ag 0.0000 0.0000 5.0282
F -0.9969 1.8565 6.4374
F -1.7522 3.1646 8.6473
F 0.9969 1.8565 8.6473
F -0.7553 4.8913 6.4374
F 2.1062 0.0649 1.4092
F 1.1093 1.7916 3.6190
F 1.7522 3.1646 6.4374
F 0.7553 4.8913 8.6473
F 3.6167 0.0649 3.6190
F 1.8645 3.0997 1.4092
F 4.6136 1.7916 1.4092
F 3.8584 3.0997 3.6190
```

Properties
The final energy is -44.9 eV/f.u. As for the uncorrected formation energy: -25.02 eV/f.u. As for the magnetic moment: 0.09 μB per formula unit. The calculated volume is 15.85 A^3/atom.


## SrMg2Cd2 (PBE)

Data for a relaxed SrMg2Cd2 crystal.

The structure in extended XYZ format:
```
10
Lattice="8.7579 0.0000 0.0000 0.0000 8.7579 0.0000 0.0000 0.0000 3.4854" Properties=species:S:1:pos:R:3 pbc="T T T"
Sr 0.0000 0.0000 0.0000
Sr 4.3789 4.3789 0.0000
Mg 1.4297 2.9492 1.7427
Mg 2.9492 7.3281 1.7427
Mg 5.8087 1.4297 1.7427
Mg 7.3281 5.8087 1.7427
Cd 1.1267 5.5057 0.0000
Cd 3.2522 1.1267 0.0000
Cd 5.5057 7.6311 0.0000
Cd 7.6311 3.2522 0.0000
```

Properties
The final energy is -7.2 eV/f.u. As for the magnetic moment: 0.00 μB per formula unit. The calculated volume is 26.73 A^3/atom. The calculated formation energy comes out at -0.11 eV/atom. For the relative energy among the computed polymorphs, the calculation gives 0.109 eV/atom.


## PrNdP2O8 (PBE)

Data for a relaxed PrNdP2O8 crystal.

The structure in extended XYZ format:
```
12
Lattice="5.3284 0.0000 0.0000 -2.6642 4.6146 0.0000 0.0000 0.0000 7.3906" Properties=species:S:1:pos:R:3 pbc="T T T"
Pr 0.0000 0.0000 0.0000
Nd 0.0000 0.0000 3.6953
P 0.0000 3.0764 5.9361
P 2.6642 1.5382 1.4545
O -1.2683 3.8003 5.3957
O 0.0072 1.6160 5.3957
O 0.0000 3.0764 0.0738
O 1.4031 0.8018 1.9949
O 1.2611 3.8128 5.3957
O 2.6642 1.5382 7.3168
O 2.6570 2.9985 1.9949
O 3.9325 0.8143 1.9949
```

Properties
The final energy is -94.3 eV/f.u. As for the uncorrected formation energy: -34.26 eV/f.u. As for the magnetic moment: 0.00 μB per formula unit. The calculated volume is 15.14 A^3/atom.


## ReRh4Au (PBE)

Data for a relaxed ReRh4Au crystal.

The structure in extended XYZ format:
```
6
Lattice="0.0000 3.5880 3.5880 3.5880 0.0000 3.5880 3.5880 3.5880 0.0000" Properties=species:S:1:pos:R:3 pbc="T T T"
Re 0.0000 0.0000 0.0000
Rh 4.4845 2.6915 2.6915
Rh 2.6915 4.4845 2.6915
Rh 2.6915 2.6915 4.4845
Rh 4.4845 4.4845 4.4845
Au 1.7940 1.7940 1.7940
```

Properties
The final energy is -42.5 eV/f.u. As for the magnetic moment: 0.00 μB per formula unit. The calculated volume is 15.40 A^3/atom. The calculated formation energy comes out at 0.44 eV/atom.


## LiBeAgPd (PBE)

Data for a relaxed LiBeAgPd crystal.

The structure in extended XYZ format:
```
4
Lattice="0.0000 2.9543 2.9543 2.9543 0.0000 2.9543 2.9543 2.9543 0.0000" Properties=species:S:1:pos:R:3 pbc="T T T"
Li 0.0000 0.0000 0.0000
Be 2.9543 2.9543 2.9543
Ag 1.4772 1.4772 1.4772
Pd 4.4315 4.4315 4.4315
```

Properties
The final energy is -14.7 eV/f.u. As for the magnetic moment: 0.00 μB per formula unit. The calculated volume is 12.89 A^3/atom. The calculated formation energy comes out at -0.26 eV/atom.


## TeOs2Cl (PBE)

Data for a relaxed TeOs2Cl crystal.

The structure in extended XYZ format:
```
4
Lattice="2.9209 0.0000 0.0000 0.0000 4.3375 0.0000 -1.0164 0.0000 5.7838" Properties=species:S:1:pos:R:3 pbc="T T T"
Te 0.0000 0.0000 0.0000
Os 0.2549 2.1688 1.8030
Os 1.6496 2.1688 3.9809
Cl 0.9523 0.0000 2.8919
```

Properties
The final energy is -23.0 eV/f.u. As for the uncorrected formation energy: 4.41 eV/f.u. As for the magnetic moment: 0.00 μB per formula unit. The calculated volume is 18.32 A^3/atom. For the relative energy among the computed polymorphs, the calculation gives 0.881 eV/atom.


## La6TbTm3 (PBE)

Data for a relaxed La6TbTm3 crystal.

The structure in extended XYZ format:
```
20
Lattice="5.8248 3.3629 6.0663 -5.8248 3.3629 6.0663 0.0000 -6.7259 6.0663" Properties=species:S:1:pos:R:3 pbc="T T T"
La 0.0000 -1.9873 2.4663
La -1.7210 0.9936 2.4663
La 0.0000 -2.5386 6.1756
La -2.1985 1.2693 6.1756
La 1.7210 0.9936 2.4663
La -2.1985 -1.2693 12.0233
La 2.1985 1.2693 6.1756
La -1.7210 -0.9936 15.7325
La 2.1985 -1.2693 12.0232
La 0.0000 2.5386 12.0232
La 1.7210 -0.9936 15.7325
La 0.0000 1.9873 15.7325
Tb 0.0000 0.0000 0.0000
Tb 0.0000 0.0000 9.0994
Tm -2.7431 -1.5837 8.1829
Tm 0.0000 -3.1675 10.0160
Tm -2.7431 1.5837 10.0160
Tm 2.7431 -1.5837 8.1829
Tm 0.0000 3.1675 8.1829
Tm 2.7431 1.5837 10.0160
```

Properties
The final energy is -45.2 eV/f.u. As for the magnetic moment: 0.00 μB per formula unit. The calculated volume is 35.65 A^3/atom. The calculated formation energy comes out at 0.24 eV/atom. For the relative energy among the computed polymorphs, the calculation gives 0.053 eV/atom.


## Y2Si3Ni4Rh (PBE)

Data for a relaxed Y2Si3Ni4Rh crystal.

The structure in extended XYZ format:
```
10
Lattice="3.9288 0.0000 0.0000 0.0000 3.9288 0.0000 0.0000 0.0000 9.9031" Properties=species:S:1:pos:R:3 pbc="T T T"
Y 0.0000 1.9644 2.4477
Y 1.9644 0.0000 7.4554
Si 0.0000 1.9644 8.6789
Si 1.9644 0.0000 1.2242
Si 1.9644 1.9644 4.9516
Ni 0.0000 0.0000 0.0000
Ni 0.0000 1.9644 6.3999
Ni 1.9644 0.0000 3.5032
Ni 1.9644 1.9644 0.0000
Rh 0.0000 0.0000 4.9516
```

Properties
The final energy is -67.0 eV/f.u. As for the uncorrected formation energy: -7.31 eV/f.u. As for the magnetic moment: 0.00 μB per formula unit. The calculated volume is 15.29 A^3/atom.


## RbTl3Os (PBE)

Data for a relaxed RbTl3Os crystal.

The structure in extended XYZ format:
```
5
Lattice="6.1662 0.0000 0.0000 0.0000 6.1662 0.0000 0.0000 0.0000 6.1662" Properties=species:S:1:pos:R:3 pbc="T T T"
Rb 0.0000 0.0000 0.0000
Tl 0.0000 0.0000 3.0831
Tl 0.0000 3.0831 0.0000
Tl 3.0831 0.0000 0.0000
Os 3.0831 3.0831 3.0831
```

Properties
The final energy is -9.0 eV/f.u. As for the magnetic moment: 2.17 μB per formula unit. The calculated volume is 46.89 A^3/atom. The calculated formation energy comes out at 2.05 eV/atom. For the relative energy among the computed polymorphs, the calculation gives 1.851 eV/atom.


Question: Look up the final energy of the eleventh one.
Answer: -9.0 eV/f.u.


Question: Look up the calculated volume of the seventh one.
Answer: 12.89 A^3/atom


Question: Which value of calculated volume does entry 11 give?
Answer: 46.89 A^3/atom


Question: The lowest final energy belongs to which entry?
Answer: PrNdP2O8